Here is a geometry-optimized NdGdMg structure from OQMD. Energies are from PBE-GGA.

Cell and atoms, written as POSCAR:
```
NdGdMg
1.0
-3.892 -3.612 0.125
-3.582 0.090 3.920
-5.007 1.455 -1.010
Gd Mg Nd
1 1 1
Direct
0.250 0.250 0.250 Gd
0.000 0.000 0.000 Mg
0.750 0.750 0.750 Nd
```

Calculated values
Energy   -3.264 eV per atom
Space-group type   No. 216

=====

Here is a geometry-optimized NdGd2Mg3Pt3 structure from OQMD. Energies are from PBE-GGA.

Cell and atoms, written as POSCAR:
```
NdGd2Mg3Pt3
1.0
4.099 0.000 0.000
0.000 6.456 3.724
0.000 -6.456 3.724
Gd Mg Nd Pt
2 3 1 3
Direct
0.000 0.000 0.590 Gd
0.000 0.590 0.000 Gd
0.500 0.998 0.243 Mg
0.500 0.758 0.758 Mg
0.500 0.243 0.998 Mg
0.000 0.413 0.413 Nd
0.500 0.671 0.332 Pt
0.500 0.332 0.671 Pt
0.000 0.996 0.996 Pt
```

Calculated values
Energy   -5.032 eV per atom
Space-group type   No. 38

=====

Here is a geometry-optimized Nd2GdMg4Tl2 structure from OQMD. Energies are from PBE-GGA.

Cell and atoms, written as POSCAR:
```
Nd2GdMg4Tl2
1.0
4.740 0.000 0.000
0.000 6.629 3.872
0.000 -6.629 3.872
Gd Mg Nd Tl
1 4 2 2
Direct
0.000 0.430 0.430 Gd
0.500 0.243 0.000 Mg
0.000 0.005 0.005 Mg
0.500 0.000 0.243 Mg
0.500 0.759 0.759 Mg
0.000 0.998 0.569 Nd
0.000 0.569 0.998 Nd
0.500 0.663 0.334 Tl
0.500 0.334 0.663 Tl
```

Calculated values
Energy   -3.054 eV per atom
Space-group type   No. 38

=====

Here is a geometry-optimized Nd2GdMg3Tl2Zn structure from OQMD. Energies are from PBE-GGA.

Cell and atoms, written as POSCAR:
```
Nd2GdMg3Tl2Zn
1.0
4.675 0.000 0.000
0.000 6.558 3.820
0.000 -6.558 3.820
Gd Mg Nd Tl Zn
1 3 2 2 1
Direct
0.000 0.408 0.408 Gd
0.500 0.235 0.000 Mg
0.500 0.000 0.235 Mg
0.500 0.766 0.766 Mg
0.000 0.999 0.589 Nd
0.000 0.589 0.999 Nd
0.500 0.663 0.334 Tl
0.500 0.334 0.663 Tl
0.000 0.005 0.005 Zn
```

Calculated values
Energy   -3.096 eV per atom
Space-group type   No. 38

=====

Here is a geometry-optimized NdGd2Mg3Tl2Zn structure from OQMD. Energies are from PBE-GGA.

Cell and atoms, written as POSCAR:
```
NdGd2Mg3Tl2Zn
1.0
4.637 0.000 0.000
0.000 6.595 3.759
0.000 -6.595 3.759
Gd Mg Nd Tl Zn
2 3 1 2 1
Direct
0.000 0.590 0.001 Gd
0.000 0.001 0.590 Gd
0.500 0.000 0.234 Mg
0.500 0.764 0.764 Mg
0.500 0.234 0.000 Mg
0.000 0.412 0.412 Nd
0.500 0.671 0.333 Tl
0.500 0.333 0.671 Tl
0.000 0.995 0.995 Zn
```

Calculated values
Energy   -3.081 eV per atom
Space-group type   No. 38

=====

Here is a geometry-optimized Gd2MgNi9 structure from OQMD. Energies are from PBE-GGA.

Cell and atoms, written as POSCAR:
```
Gd2MgNi9
1.0
2.451 1.415 8.099
-2.451 1.415 8.099
0.000 -2.830 8.099
Gd Mg Ni
2 1 9
Direct
0.136 0.136 0.136 Gd
0.864 0.864 0.864 Gd
0.000 0.000 0.000 Mg
0.581 0.581 0.080 Ni
0.333 0.333 0.333 Ni
0.920 0.419 0.419 Ni
0.419 0.920 0.419 Ni
0.500 0.500 0.500 Ni
0.080 0.581 0.581 Ni
0.581 0.080 0.581 Ni
0.667 0.667 0.667 Ni
0.419 0.419 0.920 Ni
```

Calculated values
Energy   -5.356 eV per atom
Space-group type   No. 166

=====

Copy entry 2 word for word.
Here is a geometry-optimized NdGd2Mg3Pt3 structure from OQMD. Energies are from PBE-GGA.

Cell and atoms, written as POSCAR:
```
NdGd2Mg3Pt3
1.0
4.099 0.000 0.000
0.000 6.456 3.724
0.000 -6.456 3.724
Gd Mg Nd Pt
2 3 1 3
Direct
0.000 0.000 0.590 Gd
0.000 0.590 0.000 Gd
0.500 0.998 0.243 Mg
0.500 0.758 0.758 Mg
0.500 0.243 0.998 Mg
0.000 0.413 0.413 Nd
0.500 0.671 0.332 Pt
0.500 0.332 0.671 Pt
0.000 0.996 0.996 Pt
```

Calculated values
Energy   -5.032 eV per atom
Space-group type   No. 38

=====

> Which value of energy does entry 6 give?

-5.356 eV per atom

=====

> Which of these has the highest energy?

Nd2GdMg4Tl2

=====

> energy of number 1 (NdGdMg)?

-3.264 eV per atom